(1)
Here is TbSmCd3 after structural relaxation from Alexandria. Energies are from PBE-GGA.

Cell lengths 3.4941, 29.7659, 5.0010 Å; angles 90.00, 90.00, 90.00 degrees
Last column: nearest neighbours and their distance in Å.
Space group Cmcm (No. 63)
Unique sites:
Tb 0.0000 0.2149 0.2500  7 Cd 3.26-3.28, 2 Tb 3.49
Sm 0.0000 0.0747 0.7500  12 Cd 3.35-3.47, 2 Sm 3.49
Cd 0.0000 0.3245 0.2500  2 Cd 2.97, 5 Tb 3.26-3.27
Cd 0.0000 0.3785 0.7500  3 Cd 2.91-2.97
Cd 0.0000 0.4762 0.7500  3 Cd 2.87-2.91

* calculated formation energy: -303 meV per atom
* E_tot: -2.722 eV per atom
* total magnetic moment: 0.00 μB/f.u.
* E above lowest polymorph: 0 meV/atom
* N(E_F): 0.92 states/eV per atom

=====

(2)
Here is TaHgCl after structural relaxation from Alexandria. Energies are from PBE-GGA.

Cell lengths 6.3337, 6.3337, 6.3337 Å; angles 90.00, 90.00, 90.00 degrees
Last column: nearest neighbours and their distance in Å.
Space group F-43m (No. 216)
Unique sites:
Ta 0.0000 0.0000 0.0000  4 Cl 2.74
Hg 0.0000 0.0000 0.5000  4 Cl 2.74
Cl 0.2500 0.2500 0.7500  4 Ta 2.74, 4 Hg 2.74

* ΔE_f (raw): 1.18 eV/atom
* E_tot: -3.484 eV per atom
* total magnetic moment: 0.00 μB/f.u.
* E above lowest polymorph: 1371 meV/atom
* N(E_F): 0.98 states/eV per atom

=====

(3)
Here is Li2Np3AgS6 after structural relaxation from Alexandria. Energies are from PBE-GGA.

Cell lengths 16.6378, 3.9883, 7.5934 Å; angles 90.00, 98.85, 90.00 degrees
Last column: nearest neighbours and their distance in Å.
Space group C2/m (No. 12)
Unique sites:
Li 0.1740 0.0000 0.3473  6 S 2.63-2.78
Np 0.0000 0.5000 0.5000  6 S 2.72-2.74
Np 0.1605 0.0000 0.8455  6 S 2.74-2.77
Ag 0.0000 0.5000 0.0000  6 S 2.78-2.85
S 0.0054 0.0000 0.2576  3 Np 2.72-2.75, 1 Li 2.78, 2 Ag 2.78
S 0.1658 0.5000 0.5941  3 Li 2.63-2.75, 3 Np 2.74-2.77
S 0.1727 0.5000 0.0966  3 Np 2.74, 2 Li 2.75, 1 Ag 2.85

* ΔE_f (raw): -1.20 eV/atom
* E_tot: -7.056 eV per atom
* total magnetic moment: 12.00 μB/f.u.
* N(E_F): 2.17 states/eV per atom

=====

(4)
Here is RbBa after structural relaxation from Alexandria. Energies are from PBE-GGA.

Cell lengths 8.0432, 4.6243, 16.2422 Å; angles 90.00, 99.47, 90.00 degrees
Last column: nearest neighbours and their distance in Å.
Space group Cm (No. 8)
Unique sites:
Rb 0.0000 0.0000 0.0000  9 Rb 4.62-5.12, 3 Ba 4.83-4.85
Rb 0.0737 0.5000 0.7282  9 Rb 4.62-5.12, 3 Ba 4.82-4.84
Ba 0.1599 0.0000 0.4768  9 Ba 4.48-4.64, 3 Rb 4.82-4.84
Ba 0.2541 0.5000 0.2518  9 Ba 4.48-4.64, 3 Rb 4.83-4.85

* calculated formation energy: 66 meV per atom
* E_tot: -1.380 eV per atom
* total magnetic moment: 0.00 μB/f.u.
* N(E_F): 1.31 states/eV per atom

=====

(5)
Here is NaHfB3 after structural relaxation from Alexandria. Energies are from PBE-GGA.

Cell lengths 4.5290, 4.5290, 4.5290 Å; angles 90.00, 90.00, 90.00 degrees
Last column: nearest neighbours and their distance in Å.
Space group Pm-3m (No. 221)
Unique sites:
Na 0.0000 0.0000 0.0000  12 B 3.20
Hf 0.5000 0.5000 0.5000  6 B 2.26
B 0.0000 0.5000 0.5000  2 Hf 2.26

* calculated formation energy: 1451 meV per atom
* E_tot: -4.810 eV per atom
* total magnetic moment: 0.00 μB/f.u.
* E above lowest polymorph: 0 meV/atom
* N(E_F): 0.62 states/eV per atom

=====

(6)
Here is Li2Ca3Ga3 after structural relaxation from Alexandria. Energies are from PBE-GGA.

Cell lengths 7.6261, 16.3743, 6.1441 Å; angles 90.00, 90.00, 90.00 degrees
Last column: nearest neighbours and their distance in Å.
Space group Pnma (No. 62)
Unique sites:
Li 0.1371 0.1069 0.1406  4 Ga 2.59-2.82
Ca 0.0179 0.6058 0.3566  6 Ga 3.12-3.33, 3 Li 3.16-3.31
Ca 0.1669 0.7500 0.9047  3 Ga 3.09-3.26, 4 Li 3.22-3.31
Ga 0.1685 0.5332 0.9259  3 Li 2.59-2.66
Ga 0.2055 0.2500 0.8987  2 Li 2.82, 1 Ca 3.09

* calculated formation energy: -302 meV per atom
* E_tot: -2.666 eV per atom
* total magnetic moment: 0.00 μB/f.u.
* E above lowest polymorph: 14 meV/atom
* N(E_F): 0.59 states/eV per atom